The following is a PBE-GGA calculation of a relaxed PuHRh crystal, from the Alexandria database.

Lattice parameters (Å, degrees): 3.6297 3.6297 3.9408 90.00 90.00 120.00
Closest atoms and distances in Å follow each position.
Element x y z (fractional)
Pu: 0.0000 0.0000 0.0000  6 H 2.88, 6 Rh 2.88
H: 0.3333 0.6667 0.5000  3 Rh 2.10
Rh: 0.6667 0.3333 0.5000  3 H 2.10

Computed properties:
* DOS(E_F): 8.19 states/eV per cell
* ΔE to the lowest computed polymorph: 0.242 eV per atom
* ρ: 12.85 Mg/m³
* total magnetic moment: 1.75 μB/atom
* VASP energy: -8.501 eV/atom



The following is a PBE-GGA calculation of a relaxed TbZr2Pa crystal, from the Alexandria database.

Lattice parameters (Å, degrees): 4.6912 4.6912 4.6501 90.00 90.00 90.00
Closest atoms and distances in Å follow each position.
Element x y z (fractional)
Tb: 0.0000 0.0000 0.0000  8 Zr 3.30, 4 Pa 3.32
Zr: 0.0000 0.5000 0.5000  4 Tb 3.30, 4 Pa 3.30, 4 Zr 3.32
Zr: 0.5000 0.0000 0.5000  4 Tb 3.30, 4 Pa 3.30, 4 Zr 3.32
Pa: 0.5000 0.5000 0.0000  8 Zr 3.30, 4 Tb 3.32

Computed properties:
* DOS(E_F): 7.13 states/eV per cell
* ΔE to the lowest computed polymorph: 0.097 eV per atom
* ρ: 9.29 Mg/m³
* formation energy from the elements: 0.2089 eV per atom
* total magnetic moment: 0.00 μB/atom
* VASP energy: -7.597 eV/atom



The following is a PBE-GGA calculation of a relaxed La4Pm2Pr3 crystal, from the Alexandria database.

Lattice parameters (Å, degrees): 6.4169 6.4169 11.1296 106.40 106.40 48.47
Closest atoms and distances in Å follow each position.
Element x y z (fractional)
La: 0.0012 0.0012 0.1692  3 Pm 3.68-3.71, 6 Pr 3.69-3.73, 3 La 3.71-3.76
La: 0.3332 0.3332 0.6111  4 La 3.71-3.72, 4 Pm 3.71-3.73, 4 Pr 3.71-3.72
La: 0.6668 0.6668 0.3889  4 La 3.71-3.72, 4 Pm 3.71-3.73, 4 Pr 3.71-3.72
La: 0.9988 0.9988 0.8308  3 Pm 3.68-3.71, 6 Pr 3.69-3.73, 3 La 3.71-3.76
Pm: 0.3320 0.3320 0.2763  7 La 3.68-3.73, 5 Pr 3.69-3.74
Pm: 0.6680 0.6680 0.7237  7 La 3.68-3.73, 5 Pr 3.69-3.74
Pr: 0.0000 0.0000 0.5000  8 La 3.69-3.71, 4 Pm 3.74
Pr: 0.3343 0.3343 0.9455  3 Pr 3.69-3.71, 3 Pm 3.69-3.72, 6 La 3.71-3.73
Pr: 0.6657 0.6657 0.0545  3 Pr 3.69-3.71, 3 Pm 3.69-3.72, 6 La 3.71-3.73

Computed properties:
* DOS(E_F): 17.75 states/eV per cell
* ΔE to the lowest computed polymorph: 0.006 eV per atom
* ρ: 6.46 Mg/m³
* formation energy from the elements: 0.0183 eV per atom
* total magnetic moment: 0.00 μB/atom
* VASP energy: -4.821 eV/atom



The following is a PBE-GGA calculation of a relaxed La2Sm2Cd crystal, from the Alexandria database.

Lattice parameters (Å, degrees): 11.9908 11.9908 11.9908 162.06 162.06 25.48
Closest atoms and distances in Å follow each position.
Element x y z (fractional)
La: 0.1934 0.1934 0.0000  4 Sm 3.67, 8 La 3.74
La: 0.8066 0.8066 0.0000  4 Sm 3.67, 8 La 3.74
Sm: 0.4154 0.4154 0.0000  4 Cd 3.30, 4 La 3.67
Sm: 0.5846 0.5846 0.0000  4 Cd 3.30, 4 La 3.67
Cd: 0.0000 0.0000 0.0000  8 Sm 3.30

Computed properties:
* DOS(E_F): 6.78 states/eV per cell
* ΔE to the lowest computed polymorph: 0.000 eV per atom
* ρ: 7.01 Mg/m³
* formation energy from the elements: -0.1164 eV per atom
* total magnetic moment: 0.09 μB/atom
* VASP energy: -4.158 eV/atom



The following is a PBE-GGA calculation of a relaxed HoPu2GeC crystal, from the Alexandria database.

Lattice parameters (Å, degrees): 5.9978 5.9978 9.5228 90.00 90.00 145.58
Closest atoms and distances in Å follow each position.
Element x y z (fractional)
Ho: 0.0319 0.9681 0.7500  4 C 2.99, 3 Ge 3.06-3.23
Ho: 0.9681 0.0319 0.2500  4 C 2.99, 3 Ge 3.06-3.23
Pu: 0.3140 0.6860 0.5280  1 C 2.15, 2 Pu 2.36
Pu: 0.3140 0.6860 0.9720  1 C 2.15, 2 Pu 2.36
Pu: 0.6860 0.3140 0.0280  1 C 2.15, 2 Pu 2.36
Pu: 0.6860 0.3140 0.4720  1 C 2.15, 2 Pu 2.36
Ge: 0.2502 0.7498 0.2500  6 Pu 2.75-2.86, 2 Ho 3.06
Ge: 0.7498 0.2502 0.7500  6 Pu 2.75-2.86, 2 Ho 3.06
C: 0.5000 0.5000 0.0000  2 Pu 2.15
C: 0.5000 0.5000 0.5000  2 Pu 2.15

Computed properties:
* DOS(E_F): 13.53 states/eV per cell
* ρ: 12.65 Mg/m³
* formation energy from the elements: -0.0021 eV per atom
* total magnetic moment: 0.00 μB/atom
* VASP energy: -9.419 eV/atom



The following is a PBE-GGA calculation of a relaxed Mn2AgCl2 crystal, from the Alexandria database.

Lattice parameters (Å, degrees): 5.9233 5.9233 5.9233 141.82 141.82 55.11
Closest atoms and distances in Å follow each position.
Element x y z (fractional)
Mn: 0.2500 0.7500 0.5000  4 Cl 2.23
Mn: 0.7500 0.2500 0.5000  4 Cl 2.23
Ag: 0.0000 0.0000 0.0000  8 Cl 3.13, 8 Mn 3.26
Cl: 0.3557 0.3557 0.0000  4 Mn 2.23
Cl: 0.6443 0.6443 0.0000  4 Mn 2.23

Computed properties:
* DOS(E_F): 5.09 states/eV per cell
* ΔE to the lowest computed polymorph: 0.321 eV per atom
* ρ: 6.08 Mg/m³
* total magnetic moment: 0.00 μB/atom
* VASP energy: -4.471 eV/atom
* formation energy (no corrections): 0.51 eV/atom



The following is a PBE-GGA calculation of a relaxed AgSe4 crystal, from the Alexandria database.

Lattice parameters (Å, degrees): 5.4119 5.4119 5.4119 109.47 109.47 109.47
Closest atoms and distances in Å follow each position.
Element x y z (fractional)
Ag: 0.0000 0.0000 0.0000  8 Se 2.71
Se: 0.0000 0.0000 0.5000  2 Ag 2.71
Se: 0.0000 0.5000 0.0000  2 Ag 2.71
Se: 0.5000 0.0000 0.0000  2 Ag 2.71
Se: 0.5000 0.5000 0.5000  2 Ag 2.71

Computed properties:
* DOS(E_F): 2.44 states/eV per cell
* ΔE to the lowest computed polymorph: 0.366 eV per atom
* ρ: 5.77 Mg/m³
* total magnetic moment: 0.00 μB/atom
* VASP energy: -2.940 eV/atom
* formation energy (no corrections): 0.42 eV/atom



The following is a PBE-GGA calculation of a relaxed FeCoSi2 crystal, from the Alexandria database.

Lattice parameters (Å, degrees): 5.1073 5.1073 5.1073 105.98 105.98 116.69
Closest atoms and distances in Å follow each position.
Element x y z (fractional)
Fe: 0.0000 0.0000 0.0000  4 Si 2.32
Fe: 0.7500 0.2500 0.5000  4 Si 2.32
Co: 0.2500 0.7500 0.5000  4 Si 2.23
Co: 0.5000 0.5000 0.0000  4 Si 2.23
Si: 0.1365 0.6250 0.0115  2 Co 2.23, 2 Fe 2.32
Si: 0.3750 0.3865 0.5115  2 Co 2.23, 2 Fe 2.32
Si: 0.6135 0.1250 0.9885  2 Co 2.23, 2 Fe 2.32
Si: 0.8750 0.8635 0.4885  2 Co 2.23, 2 Fe 2.32

Computed properties:
* DOS(E_F): 7.52 states/eV per cell
* ρ: 5.60 Mg/m³
* total magnetic moment: 0.31 μB/atom
* VASP energy: -6.398 eV/atom
* formation energy (no corrections): 0.21 eV/atom



The following is a PBE-GGA calculation of a relaxed CuPPt2 crystal, from the Alexandria database.

Lattice parameters (Å, degrees): 4.6026 4.6026 4.6026 129.16 129.16 74.75
Closest atoms and distances in Å follow each position.
Element x y z (fractional)
Cu: 0.0000 0.0000 0.0000  8 Pt 2.69, 4 P 2.79
P: 0.5000 0.5000 0.0000  8 Pt 2.69, 4 Cu 2.79
Pt: 0.2500 0.7500 0.5000  4 P 2.69, 4 Cu 2.69, 4 Pt 2.79
Pt: 0.7500 0.2500 0.5000  4 P 2.69, 4 Cu 2.69, 4 Pt 2.79

Computed properties:
* DOS(E_F): 1.79 states/eV per cell
* ΔE to the lowest computed polymorph: 0.128 eV per atom
* ρ: 14.10 Mg/m³
* formation energy from the elements: -0.0561 eV per atom
* total magnetic moment: 0.00 μB/atom
* VASP energy: -5.453 eV/atom



The following is a PBE-GGA calculation of a relaxed Gd2MgAg crystal, from the Alexandria database.

Lattice parameters (Å, degrees): 3.7576 3.7576 7.3768 90.00 90.00 90.00
Closest atoms and distances in Å follow each position.
Element x y z (fractional)
Gd: 0.0000 0.0000 0.2407  4 Ag 3.20, 4 Mg 3.27, 1 Gd 3.55
Gd: 0.0000 0.0000 0.7593  4 Ag 3.20, 4 Mg 3.27, 1 Gd 3.55
Mg: 0.5000 0.5000 0.5000  8 Gd 3.27
Ag: 0.5000 0.5000 0.0000  8 Gd 3.20

Computed properties:
* DOS(E_F): 4.31 states/eV per cell
* ΔE to the lowest computed polymorph: 0.000 eV per atom
* ρ: 7.12 Mg/m³
* formation energy from the elements: -0.1968 eV per atom
* total magnetic moment: 3.69 μB/atom
* VASP energy: -8.349 eV/atom



The following is a PBE-GGA calculation of a relaxed LaPr4Te5 crystal, from the Alexandria database.

Lattice parameters (Å, degrees): 12.0472 12.0472 12.0472 158.29 149.13 38.06
Closest atoms and distances in Å follow each position.
Element x y z (fractional)
La: 0.0000 0.0000 0.0000  6 Te 3.21-3.23
Pr: 0.2002 0.2002 0.0000  6 Te 3.20-3.21
Pr: 0.3996 0.3996 0.0000  6 Te 3.21-3.22
Pr: 0.6004 0.6004 0.0000  6 Te 3.21-3.22
Pr: 0.7998 0.7998 0.0000  6 Te 3.20-3.21
Te: 0.1008 0.6008 0.5000  4 Pr 3.20-3.21, 2 La 3.23
Te: 0.2999 0.7999 0.5000  6 Pr 3.21
Te: 0.5000 0.0000 0.5000  2 La 3.21, 4 Pr 3.22
Te: 0.7001 0.2001 0.5000  6 Pr 3.21
Te: 0.8992 0.3992 0.5000  4 Pr 3.20-3.21, 2 La 3.23

Computed properties:
* DOS(E_F): 6.10 states/eV per cell
* ρ: 6.72 Mg/m³
* total magnetic moment: 0.00 μB/atom
* VASP energy: -5.446 eV/atom
* formation energy (no corrections): -1.47 eV/atom



The following is a PBE-GGA calculation of a relaxed Cs3AcDy2Te6 crystal, from the Alexandria database.

Lattice parameters (Å, degrees): 8.0976 8.0976 9.3473 98.33 98.33 120.00
Closest atoms and distances in Å follow each position.
Element x y z (fractional)
Cs: 0.0000 0.0000 0.0000  6 Te 3.76-3.90
Cs: 0.3376 0.6624 0.0000  6 Te 3.78-3.91
Cs: 0.6624 0.3376 0.0000  6 Te 3.78-3.91
Ac: 0.5000 0.5000 0.5000  6 Te 3.33
Dy: 0.1671 0.8329 0.5000  6 Te 3.14-3.15
Dy: 0.8329 0.1671 0.5000  6 Te 3.14-3.15
Te: 0.0836 0.4353 0.3064  2 Dy 3.14-3.15, 1 Ac 3.33
Te: 0.2124 0.2124 0.6920  2 Dy 3.14, 1 Ac 3.33
Te: 0.4353 0.0836 0.3064  2 Dy 3.14-3.15, 1 Ac 3.33
Te: 0.5647 0.9164 0.6936  2 Dy 3.14-3.15, 1 Ac 3.33
Te: 0.7876 0.7876 0.3080  2 Dy 3.14, 1 Ac 3.33
Te: 0.9164 0.5647 0.6936  2 Dy 3.14-3.15, 1 Ac 3.33

Computed properties:
* DOS(E_F): 0.00 states/eV per cell
* ρ: 5.61 Mg/m³
* total magnetic moment: 0.00 μB/atom
* VASP energy: -4.311 eV/atom
* formation energy (no corrections): -1.42 eV/atom



The following is a PBE-GGA calculation of a relaxed PmCdCuAg crystal, from the Alexandria database.

Lattice parameters (Å, degrees): 4.9243 4.9243 4.9243 60.00 60.00 60.00
Closest atoms and distances in Å follow each position.
Element x y z (fractional)
Pm: 0.0000 0.0000 0.0000  4 Cu 3.02, 4 Ag 3.02
Cd: 0.5000 0.5000 0.5000  4 Cu 3.02, 4 Ag 3.02
Cu: 0.2500 0.2500 0.2500  4 Cd 3.02, 4 Pm 3.02
Ag: 0.7500 0.7500 0.7500  4 Cd 3.02, 4 Pm 3.02

Computed properties:
* DOS(E_F): 4.38 states/eV per cell
* ρ: 8.43 Mg/m³
* formation energy from the elements: -0.1994 eV per atom
* total magnetic moment: 0.00 μB/atom
* VASP energy: -3.353 eV/atom



The following is a PBE-GGA calculation of a relaxed Hg2AsSe crystal, from the Alexandria database.

Lattice parameters (Å, degrees): 6.3351 6.3351 6.3351 147.98 121.98 67.82
Closest atoms and distances in Å follow each position.
Element x y z (fractional)
Hg: 0.0000 0.0000 0.0000  6 Hg 3.45-3.83, 4 Se 3.55-3.76, 4 As 3.57
Hg: 0.7175 0.2175 0.5000  2 As 3.28, 4 Hg 3.45-3.49, 4 Se 3.62
As: 0.4539 0.4539 0.0000  2 Se 2.43
Se: 0.2935 0.7935 0.5000  2 As 2.43

Computed properties:
* DOS(E_F): 1.34 states/eV per cell
* ρ: 8.16 Mg/m³
* total magnetic moment: 0.00 μB/atom
* VASP energy: -2.083 eV/atom
* formation energy (no corrections): 0.10 eV/atom